Below is TlV2InGe after structural relaxation, with properties calculated at the PBE level.

Cell and atoms, written as CIF:
```
data_TlV2InGe
_cell_length_a 5.160
_cell_length_b 5.160
_cell_length_c 5.396
_cell_angle_alpha 90.00
_cell_angle_beta 90.00
_cell_angle_gamma 90.00
_symmetry_space_group_name_H-M 'P 4/m m m'
_symmetry_Int_Tables_number 123
_symmetry_space_group_name_Hall '-P 4 2'
loop_
_atom_site_label
_atom_site_type_symbol
_atom_site_fract_x
_atom_site_fract_y
_atom_site_fract_z
Tl1 Tl 0.000 0.000 0.000
V1 V 0.000 0.500 0.000
In1 In 0.000 0.000 0.500
Ge1 Ge 0.500 0.500 0.500
```

## Properties
uncorrected energy = -4.089 eV per atom
mass density = 5.7 g cm⁻³
size of the total moment = 6.10 μB/f.u.
crystal system = tetragonal